Compound: PmErMnCu
Source: Alexandria via LeMat-Bulk
Functional: PBE-GGA
Structure: optimized geometry

## Properties
magnetization	0.7755	μB per atom
crystal system	cubic
V	22.063	A^3/atom
formation energy	55	meV per atom

Cell and atoms, written as POSCAR:
```
PmErMnCu
1.0
4.9974 0.0000 0.0000
2.4987 4.3279 0.0000
2.4987 1.4426 4.0804
Er Pm Mn Cu
1 1 1 1
Direct
0.0000 0.0000 0.0000
0.5000 0.5000 0.5000
0.7500 0.7500 0.7500
0.2500 0.2500 0.2500
```